4
Lattice="-2.4497 -2.2986 0.5059 2.3496 -2.4309 0.3325 0.3628 1.5615 8.8521" Properties=species:S:1:pos:R:3 comment="TbPaSn2 | Alexandria via LeMat-Bulk | GGA-PBE | optimized geometry" dft_energy_ev_per_atom=-5.93 relative_energy_mev_per_atom=0 space_group=P4/mmm ef_ev_per_atom=-0.39 rho_g_cm3=10.035 pbc="T T T"
Sn 0.0908 0.3910 2.2165
Pa -0.0500 -2.3648 0.4192
Sn 0.2720 1.1705 6.6356
Tb 0.1314 -1.5840 4.8452